Compound: ScTa2Se4Br2
Source: Alexandria via LeMat-Bulk
Functional: PBE-GGA
Structure: relaxed

## Properties
Calculated total energy = -6.305 eV/atom
Size of the total moment = 0.934 μB/f.u.
Formation energy without anion corrections = -1.0468 eV/atom

```
data_ScTa2Se4Br2
_cell_length_a 3.5282
_cell_length_b 3.5282
_cell_length_c 21.5655
_cell_angle_alpha 90.00
_cell_angle_beta 90.00
_cell_angle_gamma 120.00
_space_group_name_H-M_alt 'P 3 m 1'
_space_group_IT_number 156
loop_
_space_group_symop_operation_xyz
'x,y,z'
'-y,x-y,z'
'-x+y,-x,z'
'-y,-x,z'
'-x+y,y,z'
'x,x-y,z'
loop_
_atom_site_label
_atom_site_type_symbol
_atom_site_fract_x
_atom_site_fract_y
_atom_site_fract_z
Sc1 Sc 0.0000 0.0000 0.0000
Ta1 Ta 0.0000 0.0000 0.6505
Ta2 Ta 0.6667 0.3333 0.3293
Se1 Se 0.0000 0.0000 0.2521
Se2 Se 0.0000 0.0000 0.4060
Se3 Se 0.6667 0.3333 0.5737
Se4 Se 0.6667 0.3333 0.7276
Br1 Br 0.6667 0.3333 0.0828
Br2 Br 0.6667 0.3333 0.9170
```

---

Compound: ScTcSe2Br
Source: Alexandria via LeMat-Bulk
Functional: PBE-GGA
Structure: relaxed

## Properties
Calculated total energy = -5.023 eV/atom
Size of the total moment = 4.910 μB/f.u.
Formation energy without anion corrections = 0.0448 eV/atom

```
data_ScTcSe2Br
_cell_length_a 5.199
_cell_length_b 5.199
_cell_length_c 5.104
_cell_angle_alpha 90.00
_cell_angle_beta 90.00
_cell_angle_gamma 90.00
_space_group_name_H-M_alt 'P 4/m m m'
_space_group_IT_number 123
_space_group_name_Hall '-P 4 2'
loop_
_atom_site_label
_atom_site_type_symbol
_atom_site_fract_x
_atom_site_fract_y
_atom_site_fract_z
Sc1 Sc 0.000 0.000 0.000
Tc1 Tc 0.500 0.500 0.500
Se1 Se 0.000 0.500 0.000
Br1 Br 0.000 0.000 0.500
```

---

Compound: ScTcSe2Br
Source: Alexandria via LeMat-Bulk
Functional: PBE-GGA
Structure: relaxed

## Properties
Calculated total energy = -5.040 eV/atom
Size of the total moment = 2.076 μB/f.u.
Formation energy without anion corrections = 0.0276 eV/atom

```
data_ScTcSe2Br
_cell_length_a 4.910
_cell_length_b 4.910
_cell_length_c 5.045
_cell_angle_alpha 90.00
_cell_angle_beta 90.00
_cell_angle_gamma 90.00
_space_group_name_H-M_alt 'P 4/m m m'
_space_group_IT_number 123
_space_group_name_Hall '-P 4 2'
loop_
_atom_site_label
_atom_site_type_symbol
_atom_site_fract_x
_atom_site_fract_y
_atom_site_fract_z
Sc1 Sc 0.000 0.000 0.000
Tc1 Tc 0.500 0.500 0.500
Se1 Se 0.000 0.500 0.500
Br1 Br 0.500 0.500 0.000
```

---

Compound: ScTeSe2Br
Source: Alexandria via LeMat-Bulk
Functional: PBE-GGA
Structure: relaxed

## Properties
Calculated total energy = -3.480 eV/atom
Size of the total moment = 1.000 μB/f.u.
Formation energy without anion corrections = 0.1428 eV/atom

```
data_ScTeSe2Br
_cell_length_a 5.456
_cell_length_b 5.456
_cell_length_c 5.317
_cell_angle_alpha 90.00
_cell_angle_beta 90.00
_cell_angle_gamma 90.00
_space_group_name_H-M_alt 'P 4/m m m'
_space_group_IT_number 123
_space_group_name_Hall '-P 4 2'
loop_
_atom_site_label
_atom_site_type_symbol
_atom_site_fract_x
_atom_site_fract_y
_atom_site_fract_z
Sc1 Sc 0.000 0.000 0.000
Te1 Te 0.500 0.500 0.500
Se1 Se 0.000 0.500 0.500
Br1 Br 0.500 0.500 0.000
```

---

Compound: ScTeSe2Br
Source: Alexandria via LeMat-Bulk
Functional: PBE-GGA
Structure: relaxed

## Properties
Calculated total energy = -4.085 eV/atom
Size of the total moment = 0.000 μB/f.u.
Formation energy without anion corrections = -0.4619 eV/atom

```
data_ScTeSe2Br
_cell_length_a 5.285
_cell_length_b 5.285
_cell_length_c 5.026
_cell_angle_alpha 90.00
_cell_angle_beta 90.00
_cell_angle_gamma 90.00
_space_group_name_H-M_alt 'P 4/m m m'
_space_group_IT_number 123
_space_group_name_Hall '-P 4 2'
loop_
_atom_site_label
_atom_site_type_symbol
_atom_site_fract_x
_atom_site_fract_y
_atom_site_fract_z
Sc1 Sc 0.000 0.000 0.000
Te1 Te 0.500 0.500 0.500
Se1 Se 0.000 0.500 0.000
Br1 Br 0.000 0.000 0.500
```

---

Compound: ScTiSe2Br
Source: Alexandria via LeMat-Bulk
Functional: PBE-GGA
Structure: relaxed

## Properties
Calculated total energy = -5.174 eV/atom
Size of the total moment = 1.814 μB/f.u.
Formation energy without anion corrections = -0.6000 eV/atom

```
data_ScTiSe2Br
_cell_length_a 5.006
_cell_length_b 5.006
_cell_length_c 4.969
_cell_angle_alpha 90.00
_cell_angle_beta 90.00
_cell_angle_gamma 90.00
_space_group_name_H-M_alt 'P 4/m m m'
_space_group_IT_number 123
_space_group_name_Hall '-P 4 2'
loop_
_atom_site_label
_atom_site_type_symbol
_atom_site_fract_x
_atom_site_fract_y
_atom_site_fract_z
Sc1 Sc 0.000 0.000 0.000
Ti1 Ti 0.500 0.500 0.500
Se1 Se 0.000 0.500 0.500
Br1 Br 0.500 0.500 0.000
```